## Ac6MgCo3 (PBE)

Data for an optimized crystal structure of Ac6MgCo3.

## Properties
Calculated formation energy, eV/atom: 0.009
Density, Mg/m³: 7.8

Cell lengths 12.710, 4.213, 13.252 Å; angles 90.00, 111.10, 90.00 degrees
Fractional positions:
Ac 0.038 0.250 0.350
Ac 0.153 0.750 0.126
Ac 0.229 0.250 0.653
Ac 0.319 0.750 0.437
Ac 0.367 0.750 0.942
Ac 0.451 0.250 0.237
Ac 0.549 0.750 0.763
Ac 0.633 0.250 0.058
Ac 0.681 0.250 0.563
Ac 0.771 0.750 0.347
Ac 0.847 0.250 0.874
Ac 0.962 0.750 0.650
Mg 0.128 0.250 0.886
Mg 0.872 0.750 0.114
Co 0.102 0.750 0.509
Co 0.242 0.250 0.283
Co 0.450 0.250 0.843
Co 0.550 0.750 0.157
Co 0.758 0.750 0.717
Co 0.898 0.250 0.490